## Rb3NdTl2O6 (GGA-PBE)

Data for a geometry-optimized Rb3NdTl2O6 structure.

Uncorrected formation energy: -1.473 eV per atom
Space-group type: C2/m (12)
Crystal system: monoclinic
Total DFT energy (no corrections): -4.99 eV/atom
Volume: 18.161 A^3/atom
Size of the total moment: 0.00 μB/atom

Unit cell a=6.1831 b=6.1831 c=6.8949 alpha=98.60 beta=98.60 gamma=119.97
Closest atoms and distances in Å follow each position.
Atoms (fractional coordinates):
Rb: 0.0000 0.0000 0.0000  6 O 2.89-2.92
Rb: 0.3302 0.6698 0.0000  6 O 2.87-2.94
Rb: 0.6698 0.3302 0.0000  6 O 2.87-2.94
Nd: 0.5000 0.5000 0.5000  6 O 2.43
Tl: 0.1664 0.8336 0.5000  6 O 2.39
Tl: 0.8336 0.1664 0.5000  6 O 2.39
O: 0.0993 0.4379 0.3126  2 Tl 2.39, 1 Nd 2.43
O: 0.2238 0.2238 0.6875  2 Tl 2.39, 1 Nd 2.43
O: 0.4379 0.0993 0.3126  2 Tl 2.39, 1 Nd 2.43
O: 0.5621 0.9007 0.6874  2 Tl 2.39, 1 Nd 2.43
O: 0.7762 0.7762 0.3125  2 Tl 2.39, 1 Nd 2.43
O: 0.9007 0.5621 0.6874  2 Tl 2.39, 1 Nd 2.43

***

## LaHgTe2N (GGA-PBE)

Data for a geometry-optimized LaHgTe2N structure.

Uncorrected formation energy: 0.243 eV per atom
Space-group type: P4/mmm (123)
Crystal system: tetragonal
Total DFT energy (no corrections): -3.72 eV/atom
Volume: 28.252 A^3/atom
Energy above the most stable polymorph in this dataset: 51 meV/atom
Size of the total moment: 0.29 μB/atom

Unit cell a=5.7496 b=5.7496 c=4.2731 alpha=90.00 beta=90.00 gamma=90.00
Closest atoms and distances in Å follow each position.
Atoms (fractional coordinates):
La: 0.0000 0.0000 0.0000  8 Te 3.58
Hg: 0.5000 0.5000 0.5000  2 N 2.14
Te: 0.0000 0.5000 0.5000  2 Hg 2.87
Te: 0.5000 0.0000 0.5000  2 Hg 2.87
N: 0.5000 0.5000 0.0000  2 Hg 2.14

***

## ScReBr (GGA-PBE)

Data for a geometry-optimized ScReBr structure.

Uncorrected formation energy: 0.610 eV per atom
Space-group type: Imm2 (44)
Crystal system: orthorhombic
Total DFT energy (no corrections): -6.21 eV/atom
Volume: 18.731 A^3/atom
Energy above the most stable polymorph in this dataset: 434 meV/atom
Size of the total moment: 0.00 μB/atom

Unit cell a=5.0813 b=5.0813 c=5.0813 alpha=145.61 beta=129.98 gamma=62.12
Closest atoms and distances in Å follow each position.
Atoms (fractional coordinates):
Sc: 0.0000 0.0000 0.0000  5 Br 2.92-2.99, 5 Re 2.92-3.06, 2 Sc 3.00
Re: 0.3514 0.3514 0.0000  1 Br 2.72, 4 Sc 2.92, 2 Re 3.00
Br: 0.6643 0.6643 0.0000  1 Re 2.72, 5 Sc 2.92-2.99, 2 Br 3.00

***

## NpCdSb (GGA-PBE)

Data for a geometry-optimized NpCdSb structure.

Uncorrected formation energy: 0.121 eV per atom
Space-group type: I4mm (107)
Crystal system: tetragonal
Total DFT energy (no corrections): -5.87 eV/atom
Volume: 26.025 A^3/atom
Energy above the most stable polymorph in this dataset: 100 meV/atom
Size of the total moment: 1.65 μB/atom

Unit cell a=7.9286 b=7.9286 c=7.9286 alpha=156.67 beta=156.67 gamma=33.22
Closest atoms and distances in Å follow each position.
Atoms (fractional coordinates):
Np: 0.0000 0.0000 0.0000  4 Np 3.21, 4 Sb 3.29, 4 Cd 3.37
Cd: 0.6643 0.6643 0.0000  4 Cd 3.21, 4 Np 3.37, 4 Sb 3.54
Sb: 0.3431 0.3431 0.0000  4 Sb 3.21, 4 Np 3.29, 4 Cd 3.54

***

## HfMgZr4 (GGA-PBE)

Data for a geometry-optimized HfMgZr4 structure.

Space-group type: C2/c (15)
Energy of formation: 0.6 eV/f.u.
Crystal system: monoclinic
Total DFT energy (no corrections): -7.52 eV/atom
Volume: 22.904 A^3/atom
Energy above the most stable polymorph in this dataset: 32 meV/atom
Size of the total moment: 0.00 μB/atom

Unit cell a=7.6617 b=7.6617 c=8.3278 alpha=118.35 beta=118.35 gamma=40.70
Closest atoms and distances in Å follow each position.
Atoms (fractional coordinates):
Hf: 0.0000 0.5000 0.0000  6 Zr 2.98-3.20, 2 Mg 3.13
Hf: 0.5000 0.0000 0.5000  6 Zr 2.98-3.20, 2 Mg 3.13
Mg: 0.1781 0.8219 0.2500  10 Zr 3.09-3.44, 2 Hf 3.13
Mg: 0.8219 0.1781 0.7500  10 Zr 3.09-3.44, 2 Hf 3.13
Zr: 0.0479 0.5963 0.4096  3 Hf 2.98-3.20, 5 Zr 2.99-3.27
Zr: 0.2321 0.6039 0.8318  6 Zr 2.99-3.27, 3 Mg 3.09-3.16
Zr: 0.3961 0.7679 0.6682  6 Zr 2.99-3.27, 3 Mg 3.09-3.16
Zr: 0.4037 0.9521 0.0904  3 Hf 2.98-3.20, 5 Zr 2.99-3.27
Zr: 0.5963 0.0479 0.9096  3 Hf 2.98-3.20, 5 Zr 2.99-3.27
Zr: 0.6039 0.2321 0.3318  6 Zr 2.99-3.27, 3 Mg 3.09-3.16
Zr: 0.7679 0.3961 0.1682  6 Zr 2.99-3.27, 3 Mg 3.09-3.16
Zr: 0.9521 0.4037 0.5904  3 Hf 2.98-3.20, 5 Zr 2.99-3.27

***

## Ac2PaGa (GGA-PBE)

Data for a geometry-optimized Ac2PaGa structure.

Space-group type: Fm-3m (225)
Energy of formation: 1.4 eV/f.u.
Crystal system: cubic
Total DFT energy (no corrections): -4.84 eV/atom
Volume: 31.770 A^3/atom
Energy above the most stable polymorph in this dataset: 262 meV/atom
Size of the total moment: 0.20 μB/atom

Unit cell a=5.6433 b=5.6433 c=5.6433 alpha=60.00 beta=60.00 gamma=60.00
Closest atoms and distances in Å follow each position.
Atoms (fractional coordinates):
Ac: 0.2500 0.2500 0.2500  4 Ga 3.46, 4 Pa 3.46
Ac: 0.7500 0.7500 0.7500  4 Ga 3.46, 4 Pa 3.46
Pa: 0.0000 0.0000 0.0000  8 Ac 3.46
Ga: 0.5000 0.5000 0.5000  8 Ac 3.46

***

## AlZnCl3 (GGA-PBE)

Data for a geometry-optimized AlZnCl3 structure.

Uncorrected formation energy: -0.700 eV per atom
Space-group type: Pm-3m (221)
Crystal system: cubic
Total DFT energy (no corrections): -2.81 eV/atom
Volume: 22.167 A^3/atom
Energy above the most stable polymorph in this dataset: 0 meV/atom
Size of the total moment: 0.00 μB/atom

Unit cell a=4.8035 b=4.8035 c=4.8035 alpha=90.00 beta=90.00 gamma=90.00
Closest atoms and distances in Å follow each position.
Atoms (fractional coordinates):
Al: 0.0000 0.0000 0.0000  6 Cl 2.40
Zn: 0.5000 0.5000 0.5000  12 Cl 3.40
Cl: 0.0000 0.0000 0.5000  2 Al 2.40
Cl: 0.0000 0.5000 0.0000  2 Al 2.40
Cl: 0.5000 0.0000 0.0000  2 Al 2.40

***

## SrZn2PdAu5 (GGA-PBE)

Data for a geometry-optimized SrZn2PdAu5 structure.

Space-group type: P4/mmm (123)
Energy of formation: -1.7 eV/f.u.
Crystal system: tetragonal
Total DFT energy (no corrections): -3.06 eV/atom
Volume: 20.699 A^3/atom
Size of the total moment: 0.00 μB/atom

Unit cell a=4.9932 b=4.9932 c=7.4720 alpha=90.00 beta=90.00 gamma=90.00
Closest atoms and distances in Å follow each position.
Atoms (fractional coordinates):
Sr: 0.0000 0.0000 0.0000  12 Au 3.35-3.53, 2 Pd 3.74
Zn: 0.5000 0.5000 0.3375  1 Zn 2.43, 5 Au 2.51-2.52
Zn: 0.5000 0.5000 0.6625  1 Zn 2.43, 5 Au 2.51-2.52
Pd: 0.0000 0.0000 0.5000  8 Au 2.91
Au: 0.0000 0.5000 0.2999  2 Zn 2.51
Au: 0.0000 0.5000 0.7001  2 Zn 2.51
Au: 0.5000 0.0000 0.2999  2 Zn 2.51
Au: 0.5000 0.0000 0.7001  2 Zn 2.51
Au: 0.5000 0.5000 0.0000  2 Zn 2.52